(1)
Al2BiPb2: optimized geometry, PBE-GGA.

Geometry as CIF:
```
data_Al2BiPb2
_cell_length_a 3.857
_cell_length_b 3.857
_cell_length_c 9.680
_cell_angle_alpha 78.51
_cell_angle_beta 78.51
_cell_angle_gamma 90.00
_space_group_name_H-M_alt 'P 1'
_space_group_IT_number 1
loop_
_space_group_symop_operation_xyz
'x,y,z'
loop_
_atom_site_label
_atom_site_type_symbol
_atom_site_fract_x
_atom_site_fract_y
_atom_site_fract_z
Bi1 Bi 0.000 0.000 0.000
Pb1 Pb 0.616 0.616 0.768
Pb2 Pb 0.384 0.384 0.232
Al1 Al 0.750 0.250 0.500
Al2 Al 0.250 0.750 0.500
```

Properties
The space-group type is I4/mmm (139). The calculation puts the energy above the most stable polymorph in this dataset at 4.6 meV per atom. Its formation energy is 198.1 meV per atom. The value obtained for the total energy is -3.558 eV per atom.


(2)
TmSiHRu2: optimized geometry, PBE-GGA.

Geometry as CIF:
```
data_TmSiHRu2
_cell_length_a 3.234
_cell_length_b 5.861
_cell_length_c 7.478
_cell_angle_alpha 90.00
_cell_angle_beta 90.00
_cell_angle_gamma 106.01
_space_group_name_H-M_alt 'P 1'
_space_group_IT_number 1
loop_
_space_group_symop_operation_xyz
'x,y,z'
loop_
_atom_site_label
_atom_site_type_symbol
_atom_site_fract_x
_atom_site_fract_y
_atom_site_fract_z
Tm1 Tm 0.464 0.928 0.750
Tm2 Tm 0.536 0.072 0.250
Ru1 Ru 0.848 0.697 0.454
Ru2 Ru 0.848 0.697 0.046
Ru3 Ru 0.152 0.303 0.954
Ru4 Ru 0.152 0.303 0.546
H1 H 0.000 0.000 0.500
H2 H 0.000 0.000 0.000
Si1 Si 0.260 0.520 0.250
Si2 Si 0.740 0.480 0.750
```

Properties
The space-group type is Cmcm (63). The value obtained for the total energy is -6.935 eV per atom.


(3)
CaSnAu2: optimized geometry, PBE-GGA.

Geometry as CIF:
```
data_CaSnAu2
_cell_length_a 4.990
_cell_length_b 4.990
_cell_length_c 9.670
_cell_angle_alpha 75.05
_cell_angle_beta 75.05
_cell_angle_gamma 90.00
_space_group_name_H-M_alt 'P 1'
_space_group_IT_number 1
loop_
_space_group_symop_operation_xyz
'x,y,z'
loop_
_atom_site_label
_atom_site_type_symbol
_atom_site_fract_x
_atom_site_fract_y
_atom_site_fract_z
Sn1 Sn 0.000 0.000 0.000
Sn2 Sn 0.750 0.250 0.500
Au1 Au 0.375 0.292 0.750
Au2 Au 0.708 0.125 0.250
Au3 Au 0.875 0.958 0.750
Au4 Au 0.042 0.625 0.250
Ca1 Ca 0.250 0.750 0.500
Ca2 Ca 0.500 0.500 0.000
```

Properties
The space-group type is I-42d (122). Its formation energy is -345.9 meV per atom. The value obtained for the total energy is -3.486 eV per atom.


(4)
Tb4Pr10Nd: optimized geometry, PBE-GGA.

Geometry as CIF:
```
data_Tb4Pr10Nd
_cell_length_a 10.917
_cell_length_b 9.006
_cell_length_c 9.006
_cell_angle_alpha 68.45
_cell_angle_beta 52.70
_cell_angle_gamma 52.70
_space_group_name_H-M_alt 'P 1'
_space_group_IT_number 1
loop_
_space_group_symop_operation_xyz
'x,y,z'
loop_
_atom_site_label
_atom_site_type_symbol
_atom_site_fract_x
_atom_site_fract_y
_atom_site_fract_z
Pr1 Pr 0.057 0.891 0.655
Pr2 Pr 0.943 0.109 0.345
Pr3 Pr 0.948 0.655 0.109
Pr4 Pr 0.396 0.891 0.655
Pr5 Pr 0.713 0.345 0.891
Pr6 Pr 0.052 0.345 0.891
Pr7 Pr 0.287 0.655 0.109
Pr8 Pr 0.604 0.109 0.345
Pr9 Pr 0.750 0.500 0.500
Pr10 Pr 0.250 0.500 0.500
Tb1 Tb 0.776 0.781 0.667
Tb2 Tb 0.443 0.333 0.781
Tb3 Tb 0.224 0.219 0.333
Tb4 Tb 0.557 0.667 0.219
Nd1 Nd 0.000 0.000 0.000
```

Properties
The space-group type is I4/m (87). Its formation energy is 419.9 meV per atom. The value obtained for the total energy is -4.319 eV per atom.